No. 1
## AcIn4Pd (PBE-GGA)

Data for a geometry-optimized AcIn4Pd structure.

**Magnetization**: 0.009 Bohr magnetons per cell
**E_tot**: -23.26 eV per formula unit

a = 9.0269 Å, b = 9.0269 Å, c = 7.5509 Å
α = 90.00°, β = 90.00°, γ = 150.02°
With the nearest neighbours (Å) after each atom.
Fractional coordinates of all 12 atoms:
Ac: 0.1202 0.8798 0.7500  11 In 3.35-3.71, 2 Pd 3.54
Ac: 0.8798 0.1202 0.2500  11 In 3.35-3.71, 2 Pd 3.54
In: 0.0721 0.9279 0.2500  1 Pd 2.71
In: 0.3152 0.6848 0.5528  3 Pd 2.75-2.87, 1 In 2.98
In: 0.3152 0.6848 0.9472  3 Pd 2.75-2.87, 1 In 2.98
In: 0.5000 0.5000 0.0000  6 In 3.25-3.26
In: 0.5000 0.5000 0.5000  6 In 3.25-3.26
In: 0.6848 0.3152 0.0528  3 Pd 2.75-2.87, 1 In 2.98
In: 0.6848 0.3152 0.4472  3 Pd 2.75-2.87, 1 In 2.98
In: 0.9279 0.0721 0.7500  1 Pd 2.71
Pd: 0.2273 0.7727 0.2500  7 In 2.71-2.87
Pd: 0.7727 0.2273 0.7500  7 In 2.71-2.87

No. 2
## NpTeOs (PBE-GGA)

Data for a geometry-optimized NpTeOs structure.

**Magnetization**: 3.212 Bohr magnetons per cell
**E_tot**: -24.85 eV per formula unit

a = 4.6161 Å, b = 4.6161 Å, c = 4.6161 Å
α = 60.00°, β = 60.00°, γ = 60.00°
With the nearest neighbours (Å) after each atom.
Fractional coordinates of all 3 atoms:
Np: 0.0000 0.0000 0.0000  4 Te 2.83
Te: 0.2500 0.2500 0.2500  4 Os 2.83, 4 Np 2.83
Os: 0.5000 0.5000 0.5000  4 Te 2.83

No. 3
## HoErTm2 (PBE-GGA)

Data for a geometry-optimized HoErTm2 structure.

**Magnetization**: 0.113 Bohr magnetons per cell
**E_form**: 0 kJ/mol of formula units

a = 5.5230 Å, b = 7.1290 Å, c = 7.1290 Å
α = 60.00°, β = 90.00°, γ = 90.00°
With the nearest neighbours (Å) after each atom.
Fractional coordinates of all 8 atoms:
Ho: 0.0000 0.0000 0.0000  8 Tm 3.45-3.57, 4 Er 3.45
Ho: 0.5000 0.3335 0.3335  8 Tm 3.45-3.56, 4 Er 3.56-3.57
Er: 0.5000 0.3339 0.8330  6 Tm 3.44-3.57, 4 Ho 3.45-3.57, 2 Er 3.56-3.57
Er: 0.5000 0.8330 0.3339  6 Tm 3.44-3.57, 4 Ho 3.45-3.57, 2 Er 3.56-3.57
Tm: 0.0000 0.5004 0.5004  4 Er 3.44, 4 Ho 3.45-3.56, 4 Tm 3.56-3.57
Tm: 0.0000 0.5005 0.9995  6 Tm 3.44-3.57, 2 Er 3.44, 4 Ho 3.45-3.57
Tm: 0.0000 0.9995 0.5005  6 Tm 3.44-3.57, 2 Er 3.44, 4 Ho 3.45-3.57
Tm: 0.5000 0.8332 0.8332  4 Tm 3.44, 4 Ho 3.45-3.56, 4 Er 3.56-3.57

No. 4
## ScCdNiBi (PBE-GGA)

Data for a geometry-optimized ScCdNiBi structure.

**Magnetization**: 0.000 Bohr magnetons per cell
**E_tot**: -17.12 eV per formula unit

a = 4.8482 Å, b = 4.8482 Å, c = 4.8482 Å
α = 60.00°, β = 60.00°, γ = 60.00°
With the nearest neighbours (Å) after each atom.
Fractional coordinates of all 4 atoms:
Sc: 0.0000 0.0000 0.0000  4 Cd 2.97, 4 Bi 2.97
Cd: 0.7500 0.7500 0.7500  4 Ni 2.97, 4 Sc 2.97
Ni: 0.5000 0.5000 0.5000  4 Cd 2.97, 4 Bi 2.97
Bi: 0.2500 0.2500 0.2500  4 Ni 2.97, 4 Sc 2.97

No. 5
## NaSmNiTe3 (PBE-GGA)

Data for a geometry-optimized NaSmNiTe3 structure.

**Magnetization**: 0.010 Bohr magnetons per cell
**Energy above the lowest structure with this stoichiometry**: 0.00 eV per formula unit

a = 9.0270 Å, b = 4.2667 Å, c = 9.9502 Å
α = 90.00°, β = 105.31°, γ = 90.00°
With the nearest neighbours (Å) after each atom.
Fractional coordinates of all 12 atoms:
Na: 0.2086 0.2500 0.2467  6 Te 3.17-3.48
Na: 0.7914 0.7500 0.7533  6 Te 3.17-3.48
Sm: 0.3189 0.7500 0.8508  6 Te 3.11-3.21, 2 Ni 3.46
Sm: 0.6811 0.2500 0.1492  6 Te 3.11-3.21, 2 Ni 3.46
Ni: 0.0970 0.2500 0.6045  4 Te 2.52-2.56
Ni: 0.9030 0.7500 0.3955  4 Te 2.52-2.56
Te: 0.0688 0.2500 0.8534  1 Ni 2.56
Te: 0.1883 0.7500 0.5176  3 Ni 2.52-2.54
Te: 0.4367 0.7500 0.1757  3 Sm 3.13, 2 Na 3.17
Te: 0.5633 0.2500 0.8243  3 Sm 3.13, 2 Na 3.17
Te: 0.8117 0.2500 0.4824  3 Ni 2.52-2.54
Te: 0.9312 0.7500 0.1466  1 Ni 2.56

No. 6
## CuH (PBE-GGA)

Data for a geometry-optimized CuH structure.

**E_tot**: -6.82 eV per formula unit

a = 2.8083 Å, b = 2.8083 Å, c = 2.8083 Å
α = 60.00°, β = 60.00°, γ = 60.00°
With the nearest neighbours (Å) after each atom.
Fractional coordinates of all 2 atoms:
Cu: 0.0000 0.0000 0.0000  4 H 1.72
H: 0.7500 0.7500 0.7500  4 Cu 1.72

No. 7
## BaZrSb2 (PBE-GGA)

Data for a geometry-optimized BaZrSb2 structure.

**Magnetization**: 0.005 Bohr magnetons per cell
**E_tot**: -18.43 eV per formula unit

a = 5.4345 Å, b = 5.4345 Å, c = 5.4345 Å
α = 60.00°, β = 60.00°, γ = 60.00°
With the nearest neighbours (Å) after each atom.
Fractional coordinates of all 4 atoms:
Ba: 0.0000 0.0000 0.0000  4 Sb 3.33, 4 Zr 3.33
Zr: 0.2500 0.2500 0.2500  4 Ba 3.33, 4 Sb 3.33
Sb: 0.5000 0.5000 0.5000  4 Sb 3.33, 4 Zr 3.33
Sb: 0.7500 0.7500 0.7500  4 Ba 3.33, 4 Sb 3.33

No. 8
## Zr3Al3Cu2Ni (PBE-GGA)

Data for a geometry-optimized Zr3Al3Cu2Ni structure.

**Magnetization**: 0.001 Bohr magnetons per cell
**E_tot**: -54.37 eV per formula unit

a = 6.8635 Å, b = 6.8635 Å, c = 3.6404 Å
α = 90.00°, β = 90.00°, γ = 120.00°
With the nearest neighbours (Å) after each atom.
Fractional coordinates of all 9 atoms:
Zr: 0.0000 0.4012 0.0000  1 Ni 2.75, 4 Cu 2.77, 6 Al 3.02
Zr: 0.4012 0.0000 0.0000  1 Ni 2.75, 4 Cu 2.77, 6 Al 3.02
Zr: 0.5988 0.5988 0.0000  1 Ni 2.75, 4 Cu 2.77, 6 Al 3.02
Al: 0.0000 0.7531 0.5000  2 Ni 2.49, 2 Cu 2.63
Al: 0.2469 0.2469 0.5000  2 Ni 2.49, 2 Cu 2.63
Al: 0.7531 0.0000 0.5000  2 Ni 2.49, 2 Cu 2.63
Cu: 0.3333 0.6667 0.5000  3 Al 2.63, 6 Zr 2.77
Cu: 0.6667 0.3333 0.5000  3 Al 2.63, 6 Zr 2.77
Ni: 0.0000 0.0000 0.0000  6 Al 2.49, 3 Zr 2.75

No. 9
## KCoTeAuSe2 (PBE-GGA)

Data for a geometry-optimized KCoTeAuSe2 structure.

**Magnetization**: 0.002 Bohr magnetons per cell
**E_tot**: -23.47 eV per formula unit

a = 8.5240 Å, b = 8.5240 Å, c = 10.3249 Å
α = 90.00°, β = 90.00°, γ = 155.64°
With the nearest neighbours (Å) after each atom.
Fractional coordinates of all 12 atoms:
K: 0.2342 0.7658 0.7500  2 Au 3.25, 2 Se 3.54, 2 Te 3.57, 2 K 3.60
K: 0.7658 0.2342 0.2500  2 Au 3.25, 2 Se 3.54, 2 Te 3.57, 2 K 3.60
Co: 0.5000 0.5000 0.0000  4 Se 2.43, 2 Te 2.71
Co: 0.5000 0.5000 0.5000  4 Se 2.43, 2 Te 2.71
Te: 0.4507 0.5493 0.2500  2 Co 2.71
Te: 0.5493 0.4507 0.7500  2 Co 2.71
Au: 0.1033 0.8967 0.2500  2 Se 2.46
Au: 0.8967 0.1033 0.7500  2 Se 2.46
Se: 0.0973 0.9027 0.0119  2 Co 2.43, 1 Au 2.46
Se: 0.0973 0.9027 0.4881  2 Co 2.43, 1 Au 2.46
Se: 0.9027 0.0973 0.5119  2 Co 2.43, 1 Au 2.46
Se: 0.9027 0.0973 0.9881  2 Co 2.43, 1 Au 2.46

No. 10
## PrCuSnTe2S (PBE-GGA)

Data for a geometry-optimized PrCuSnTe2S structure.

**Magnetization**: 0.003 Bohr magnetons per cell
**E_tot**: -27.45 eV per formula unit

a = 7.4812 Å, b = 7.4812 Å, c = 10.7042 Å
α = 90.00°, β = 90.00°, γ = 147.28°
With the nearest neighbours (Å) after each atom.
Fractional coordinates of all 12 atoms:
Pr: 0.0000 0.0000 0.0000  2 S 2.85, 4 Te 3.16
Pr: 0.0000 0.0000 0.5000  2 S 2.85, 4 Te 3.16
Cu: 0.4788 0.5212 0.7500  2 S 2.46, 2 Te 2.69
Cu: 0.5212 0.4788 0.2500  2 S 2.46, 2 Te 2.69
Sn: 0.2670 0.7330 0.2500  2 S 3.18, 4 Te 3.26
Sn: 0.7330 0.2670 0.7500  2 S 3.18, 4 Te 3.26
Te: 0.3458 0.6542 0.5735  1 Cu 2.69
Te: 0.3458 0.6542 0.9265  1 Cu 2.69
Te: 0.6542 0.3458 0.0735  1 Cu 2.69
Te: 0.6542 0.3458 0.4265  1 Cu 2.69
S: 0.0674 0.9326 0.7500  2 Cu 2.46
S: 0.9326 0.0674 0.2500  2 Cu 2.46

No. 11
## CoSnTe2 (PBE-GGA)

Data for a geometry-optimized CoSnTe2 structure.

**Magnetization**: 1.588 Bohr magnetons per cell
**E_tot**: -14.87 eV per formula unit

a = 5.0659 Å, b = 5.0659 Å, c = 5.0659 Å
α = 60.00°, β = 60.00°, γ = 60.00°
With the nearest neighbours (Å) after each atom.
Fractional coordinates of all 4 atoms:
Co: 0.0000 0.0000 0.0000  4 Sn 3.10, 4 Te 3.10
Sn: 0.7500 0.7500 0.7500  4 Co 3.10, 4 Te 3.10
Te: 0.2500 0.2500 0.2500  4 Co 3.10, 4 Te 3.10
Te: 0.5000 0.5000 0.5000  4 Sn 3.10, 4 Te 3.10

No. 12
## ZrCuSnIr (PBE-GGA)

Data for a geometry-optimized ZrCuSnIr structure.

**Magnetization**: 0.000 Bohr magnetons per cell
**Energy above the lowest structure with this stoichiometry**: 0.00 eV per formula unit

a = 4.6043 Å, b = 4.6043 Å, c = 4.6043 Å
α = 60.00°, β = 60.00°, γ = 60.00°
With the nearest neighbours (Å) after each atom.
Fractional coordinates of all 4 atoms:
Zr: 0.0000 0.0000 0.0000  4 Cu 2.82, 4 Ir 2.82
Cu: 0.2500 0.2500 0.2500  4 Sn 2.82, 4 Zr 2.82
Sn: 0.5000 0.5000 0.5000  4 Ir 2.82, 4 Cu 2.82
Ir: 0.7500 0.7500 0.7500  4 Sn 2.82, 4 Zr 2.82

- What is the formula in the tenth record?
  PrCuSnTe2S

- Which formula does entry 12 have?
  ZrCuSnIr